Below is PmNiAg4 after structural relaxation, with properties calculated at the PBE level.

Calculated values
The value obtained for the formation energy is 0.03 eV per atom.

Structure (CIF):
```
data_PmNiAg4
_space_group_name_H-M_alt 'F -4 3 m'
_space_group_IT_number 216
_space_group_name_Hall 'F -4 2 3'
_cell_length_a 7.782
_cell_length_b 7.782
_cell_length_c 7.782
_cell_angle_alpha 90.00
_cell_angle_beta 90.00
_cell_angle_gamma 90.00
loop_
_atom_site_label
_atom_site_type_symbol
_atom_site_fract_x
_atom_site_fract_y
_atom_site_fract_z
Pm1 Pm 0.000 0.000 0.000
Ni1 Ni 0.250 0.250 0.250
Ag1 Ag 0.124 0.124 0.624
```

Below is Pm4NiAg after structural relaxation, with properties calculated at the PBE level.

Calculated values
The value obtained for the formation energy is -0.07 eV per atom. As for the energy above the most stable polymorph in this dataset: 149 meV/atom.

Structure (CIF):
```
data_Pm4NiAg
_space_group_name_H-M_alt 'C 1 2/c 1'
_space_group_IT_number 15
_space_group_name_Hall '-C 2yc'
_cell_length_a 9.199
_cell_length_b 14.417
_cell_length_c 7.020
_cell_angle_alpha 90.00
_cell_angle_beta 128.74
_cell_angle_gamma 90.00
loop_
_atom_site_label
_atom_site_type_symbol
_atom_site_fract_x
_atom_site_fract_y
_atom_site_fract_z
Pm1 Pm 0.165 0.219 0.175
Pm2 Pm 0.237 0.034 0.737
Ni1 Ni 0.000 0.087 0.250
Ag1 Ag 0.000 0.375 0.750
```

Below is Pm3Ni2Ag after structural relaxation, with properties calculated at the PBE level.

Calculated values
The value obtained for the formation energy is -0.26 eV per atom. As for the energy above the most stable polymorph in this dataset: 7 meV/atom.

Structure (CIF):
```
data_Pm3Ni2Ag
_space_group_name_H-M_alt 'P 4/m m m'
_space_group_IT_number 123
_space_group_name_Hall '-P 4 2'
_cell_length_a 3.534
_cell_length_b 3.534
_cell_length_c 10.852
_cell_angle_alpha 90.00
_cell_angle_beta 90.00
_cell_angle_gamma 90.00
loop_
_atom_site_label
_atom_site_type_symbol
_atom_site_fract_x
_atom_site_fract_y
_atom_site_fract_z
Pm1 Pm 0.000 0.000 0.000
Pm2 Pm 0.000 0.000 0.311
Ni1 Ni 0.500 0.500 0.162
Ag1 Ag 0.500 0.500 0.500
```

Below is Pm5Ni2Ag after structural relaxation, with properties calculated at the PBE level.

Calculated values
The value obtained for the formation energy is -0.23 eV per atom.

Structure (CIF):
```
data_Pm5Ni2Ag
_space_group_name_H-M_alt 'I 4/m c m'
_space_group_IT_number 140
_space_group_name_Hall '-I 4 2c'
_cell_length_a 7.899
_cell_length_b 7.899
_cell_length_c 13.238
_cell_angle_alpha 90.00
_cell_angle_beta 90.00
_cell_angle_gamma 90.00
loop_
_atom_site_label
_atom_site_type_symbol
_atom_site_fract_x
_atom_site_fract_y
_atom_site_fract_z
Pm1 Pm 0.000 0.000 0.000
Pm2 Pm 0.162 0.338 0.137
Ni1 Ni 0.122 0.378 0.500
Ag1 Ag 0.000 0.000 0.250
```

Below is Pm12NiAg6 after structural relaxation, with properties calculated at the PBE level.

Calculated values
The value obtained for the formation energy is -0.08 eV per atom.

Structure (CIF):
```
data_Pm12NiAg6
_space_group_name_H-M_alt 'R -3'
_space_group_IT_number 148
_space_group_name_Hall '-R 3'
_cell_length_a 12.0514
_cell_length_b 12.0514
_cell_length_c 13.4045
_cell_angle_alpha 90.00
_cell_angle_beta 90.00
_cell_angle_gamma 120.00
loop_
_atom_site_label
_atom_site_type_symbol
_atom_site_fract_x
_atom_site_fract_y
_atom_site_fract_z
Pm1 Pm 0.0331 0.8423 0.3757
Pm2 Pm 0.0403 0.1930 0.8893
Ni1 Ni 0.0000 0.0000 0.5000
Ag1 Ag 0.0017 0.3979 0.7577
```

Below is Pm3NiAg after structural relaxation, with properties calculated at the PBE level.

Calculated values
The value obtained for the formation energy is -0.21 eV per atom.

Structure (CIF):
```
data_Pm3NiAg
_space_group_name_H-M_alt 'C 1 2/m 1'
_space_group_IT_number 12
_space_group_name_Hall '-C 2y'
_cell_length_a 10.384
_cell_length_b 6.638
_cell_length_c 8.629
_cell_angle_alpha 90.00
_cell_angle_beta 116.64
_cell_angle_gamma 90.00
loop_
_atom_site_label
_atom_site_type_symbol
_atom_site_fract_x
_atom_site_fract_y
_atom_site_fract_z
Pm1 Pm 0.031 0.000 0.226
Pm2 Pm 0.182 0.500 0.874
Pm3 Pm 0.207 0.500 0.317
Ni1 Ni 0.000 0.308 0.000
Ag1 Ag 0.000 0.287 0.500
```